# PBE ZrAl2AgSn, relaxed
data_ZrAl2AgSn
_chemical_formula_sum 'Zr1 Al2 Ag1 Sn1'
_cell_length_a 5.273
_cell_length_b 5.273
_cell_length_c 5.497
_cell_angle_alpha 90.00
_cell_angle_beta 90.00
_cell_angle_gamma 90.00
_symmetry_space_group_name_H-M 'P 4/m m m'
_symmetry_Int_Tables_number 123
_symmetry_space_group_name_Hall '-P 4 2'
loop_
_atom_site_label
_atom_site_fract_x
_atom_site_fract_y
_atom_site_fract_z
Zr1 0.000 0.000 0.000
Al1 0.000 0.500 0.000
Ag1 0.500 0.500 0.500
Sn1 0.000 0.000 0.500
# * crystal system: tetragonal
# * electronic total energy: -3.74 eV per atom
# * calculated volume: 152.84 Å³/cell

---

# PBE Sr2AlAg, relaxed
data_Sr2AlAg
_chemical_formula_sum 'Sr4 Al2 Ag2'
_cell_length_a 4.808
_cell_length_b 4.808
_cell_length_c 10.393
_cell_angle_alpha 90.00
_cell_angle_beta 90.00
_cell_angle_gamma 90.00
_symmetry_space_group_name_H-M 'I -4 m 2'
_symmetry_Int_Tables_number 119
_symmetry_space_group_name_Hall 'I -4 -2'
loop_
_atom_site_label
_atom_site_fract_x
_atom_site_fract_y
_atom_site_fract_z
Sr1 0.000 0.000 0.000
Sr2 0.000 0.500 0.250
Al1 0.000 0.000 0.500
Ag1 0.000 0.500 0.750
# * crystal system: tetragonal
# * electronic total energy: -2.48 eV per atom
# * calculated volume: 240.22 Å³/cell

---

# PBE SrAl2Ag2, relaxed
data_SrAl2Ag2
_chemical_formula_sum 'Sr2 Al4 Ag4'
_cell_length_a 8.311
_cell_length_b 8.311
_cell_length_c 2.987
_cell_angle_alpha 90.00
_cell_angle_beta 90.00
_cell_angle_gamma 90.00
_symmetry_space_group_name_H-M 'P 4/m b m'
_symmetry_Int_Tables_number 127
_symmetry_space_group_name_Hall '-P 4 2ab'
loop_
_atom_site_label
_atom_site_fract_x
_atom_site_fract_y
_atom_site_fract_z
Sr1 0.000 0.000 0.000
Al1 0.125 0.375 0.000
Ag1 0.167 0.667 0.500
# * crystal system: tetragonal
# * electronic total energy: -3.00 eV per atom
# * calculated volume: 206.36 Å³/cell

---

# PBE Sr2AlAg, relaxed
data_Sr2AlAg
_chemical_formula_sum 'Sr2 Al1 Ag1'
_cell_length_a 3.878
_cell_length_b 3.968
_cell_length_c 7.957
_cell_angle_alpha 90.00
_cell_angle_beta 90.11
_cell_angle_gamma 90.00
_symmetry_space_group_name_H-M 'P 1 2/m 1'
_symmetry_Int_Tables_number 10
_symmetry_space_group_name_Hall '-P 2y'
loop_
_atom_site_label
_atom_site_fract_x
_atom_site_fract_y
_atom_site_fract_z
Sr1 0.001 0.000 0.250
Al1 0.500 0.500 0.000
Ag1 0.500 0.500 0.500
# * crystal system: monoclinic
# * electronic total energy: -2.66 eV per atom
# * calculated volume: 122.43 Å³/cell

---

# PBE SrAl2Ag3, relaxed
data_SrAl2Ag3
_chemical_formula_sum 'Sr4 Al8 Ag12'
_cell_length_a 10.751
_cell_length_b 8.850
_cell_length_c 5.538
_cell_angle_alpha 90.00
_cell_angle_beta 90.00
_cell_angle_gamma 90.00
_symmetry_space_group_name_H-M 'C m c m'
_symmetry_Int_Tables_number 63
_symmetry_space_group_name_Hall '-C 2c 2'
loop_
_atom_site_label
_atom_site_fract_x
_atom_site_fract_y
_atom_site_fract_z
Sr1 0.000 0.180 0.250
Al1 0.213 0.500 0.000
Ag1 0.000 0.443 0.750
Ag2 0.194 0.226 0.750
# * crystal system: orthorhombic
# * electronic total energy: -3.22 eV per atom
# * calculated volume: 526.98 Å³/cell

---

# PBE SrAl7Ag12, relaxed
data_SrAl7Ag12
_chemical_formula_sum 'Sr2 Al14 Ag24'
_cell_length_a 9.596
_cell_length_b 9.596
_cell_length_c 9.596
_cell_angle_alpha 90.00
_cell_angle_beta 90.00
_cell_angle_gamma 90.00
_symmetry_space_group_name_H-M 'I m -3'
_symmetry_Int_Tables_number 204
_symmetry_space_group_name_Hall '-I 2 2 3'
loop_
_atom_site_label
_atom_site_fract_x
_atom_site_fract_y
_atom_site_fract_z
Sr1 0.000 0.000 0.000
Al1 0.000 0.000 0.500
Al2 0.250 0.250 0.250
Ag1 0.000 0.245 0.350
# * crystal system: cubic
# * electronic total energy: -2.97 eV per atom
# * calculated volume: 883.52 Å³/cell

---

# PBE Sr2AlAg, relaxed
data_Sr2AlAg
_chemical_formula_sum 'Sr2 Al1 Ag1'
_cell_length_a 5.672
_cell_length_b 5.672
_cell_length_c 3.801
_cell_angle_alpha 90.00
_cell_angle_beta 90.00
_cell_angle_gamma 90.00
_symmetry_space_group_name_H-M 'P 4/m m m'
_symmetry_Int_Tables_number 123
_symmetry_space_group_name_Hall '-P 4 2'
loop_
_atom_site_label
_atom_site_fract_x
_atom_site_fract_y
_atom_site_fract_z
Sr1 0.000 0.500 0.000
Al1 0.000 0.000 0.500
Ag1 0.500 0.500 0.500
# * crystal system: tetragonal
# * electronic total energy: -2.65 eV per atom
# * calculated volume: 122.29 Å³/cell

---

# PBE SrAlAg, relaxed
data_SrAlAg
_chemical_formula_sum 'Sr1 Al1 Ag1'
_cell_length_a 4.6890
_cell_length_b 4.6890
_cell_length_c 4.2370
_cell_angle_alpha 90.00
_cell_angle_beta 90.00
_cell_angle_gamma 120.00
_symmetry_space_group_name_H-M 'P -6 m 2'
_symmetry_Int_Tables_number 187
_symmetry_space_group_name_Hall 'P -6 2'
loop_
_atom_site_label
_atom_site_fract_x
_atom_site_fract_y
_atom_site_fract_z
Sr1 0.0000 0.0000 0.0000
Al1 0.3333 0.6667 0.5000
Ag1 0.6667 0.3333 0.5000
# * crystal system: hexagonal
# * electronic total energy: -3.00 eV per atom
# * calculated volume: 80.68 Å³/cell

---

# PBE SrAl4Ag8, relaxed
data_SrAl4Ag8
_chemical_formula_sum 'Sr2 Al8 Ag16'
_cell_length_a 9.483
_cell_length_b 9.483
_cell_length_c 5.398
_cell_angle_alpha 90.00
_cell_angle_beta 90.00
_cell_angle_gamma 90.00
_symmetry_space_group_name_H-M 'I 4/m m m'
_symmetry_Int_Tables_number 139
_symmetry_space_group_name_Hall '-I 4 2'
loop_
_atom_site_label
_atom_site_fract_x
_atom_site_fract_y
_atom_site_fract_z
Sr1 0.000 0.000 0.000
Al1 0.250 0.250 0.250
Ag1 0.000 0.221 0.500
Ag2 0.000 0.346 0.000
# * crystal system: tetragonal
# * electronic total energy: -3.21 eV per atom
# * calculated volume: 485.41 Å³/cell

---

# PBE SrAl2Ag4, relaxed
data_SrAl2Ag4
_chemical_formula_sum 'Sr4 Al8 Ag16'
_cell_length_a 17.900
_cell_length_b 4.441
_cell_length_c 7.564
_cell_angle_alpha 90.00
_cell_angle_beta 90.00
_cell_angle_gamma 90.00
_symmetry_space_group_name_H-M 'P n m a'
_symmetry_Int_Tables_number 62
_symmetry_space_group_name_Hall '-P 2ac 2n'
loop_
_atom_site_label
_atom_site_fract_x
_atom_site_fract_y
_atom_site_fract_z
Sr1 0.111 0.250 0.004
Al1 0.040 0.750 0.325
Al2 0.243 0.250 0.518
Ag1 0.040 0.750 0.706
Ag2 0.098 0.250 0.500
Ag3 0.190 0.750 0.326
Ag4 0.200 0.750 0.703
# * crystal system: orthorhombic
# * electronic total energy: -3.10 eV per atom
# * calculated volume: 601.31 Å³/cell

---

# PBE SrAlAg, relaxed
data_SrAlAg
_chemical_formula_sum 'Sr4 Al4 Ag4'
_cell_length_a 6.364
_cell_length_b 6.453
_cell_length_c 8.483
_cell_angle_alpha 90.00
_cell_angle_beta 116.09
_cell_angle_gamma 90.00
_symmetry_space_group_name_H-M 'P 1 21/c 1'
_symmetry_Int_Tables_number 14
_symmetry_space_group_name_Hall '-P 2ybc'
loop_
_atom_site_label
_atom_site_fract_x
_atom_site_fract_y
_atom_site_fract_z
Sr1 0.210 0.136 0.384
Al1 0.218 0.621 0.543
Ag1 0.385 0.608 0.301
# * crystal system: monoclinic
# * electronic total energy: -3.02 eV per atom
# * calculated volume: 312.88 Å³/cell

---

# PBE Sr2Al3Ag17, relaxed
data_Sr2Al3Ag17
_chemical_formula_sum 'Sr6 Al9 Ag51'
_cell_length_a 10.5234
_cell_length_b 10.5234
_cell_length_c 14.7364
_cell_angle_alpha 90.00
_cell_angle_beta 90.00
_cell_angle_gamma 120.00
_symmetry_space_group_name_H-M 'R -3 m'
_symmetry_Int_Tables_number 166
_symmetry_space_group_name_Hall '-R 3 2"'
loop_
_atom_site_label
_atom_site_fract_x
_atom_site_fract_y
_atom_site_fract_z
Sr1 0.0000 0.0000 0.1691
Al1 0.0000 0.5000 0.5000
Ag1 0.0000 0.0000 0.4025
Ag2 0.0000 0.2628 0.5000
Ag3 0.0000 0.5000 0.0000
Ag4 0.0045 0.5022 0.6714
# * crystal system: trigonal
# * electronic total energy: -2.77 eV per atom
# * calculated volume: 1413.31 Å³/cell

---

> Which of these has the lowest electronic total energy?

ZrAl2AgSn